# NbSO2F

A geometry-optimized NbSO2F structure (PBE-GGA, Alexandria).

Output
Formation energy from raw total energies, eV per atom: -1.33
DFT total energy, Ha/atom: -0.2398
ρ, g/cm³: 4.27

a = 3.9997 Å, b = 3.9997 Å, c = 4.2774 Å
α = 90.00°, β = 90.00°, γ = 90.00°
Last column: nearest neighbours and their distance in Å.
Space group P4/mmm (No. 123)
One atom of each set of equivalent atoms:
Nb  0.0000  0.0000  0.0000 x1  4 O 2.00, 2 F 2.14
S  0.5000  0.5000  0.5000 x1  4 F 2.83, 8 O 2.93
O  0.0000  0.5000  0.0000 x2  2 Nb 2.00
F  0.0000  0.0000  0.5000 x1  2 Nb 2.14